Entry 1:
# PBE-GGA SrZn6Pd4, optimized geometry
data_SrZn6Pd4
_symmetry_space_group_name_H-M 'P -6 m 2'
_symmetry_Int_Tables_number 187
_symmetry_space_group_name_Hall 'P -6 2'
_cell_length_a 7.2475
_cell_length_b 7.2475
_cell_length_c 4.2495
_cell_angle_alpha 90.00
_cell_angle_beta 90.00
_cell_angle_gamma 120.00
loop_
_atom_site_label
_atom_site_type_symbol
_atom_site_fract_x
_atom_site_fract_y
_atom_site_fract_z
_atom_site_occupancy
Sr1 Sr 0.0000 0.0000 0.0000 1
Zn1 Zn 0.2063 0.4126 0.5000 1
Zn2 Zn 0.5382 0.0764 0.0000 1
Pd1 Pd 0.3333 0.6667 0.0000 1
Pd2 Pd 0.4062 0.2031 0.5000 1
# Calculated total energy (eV per cell): -34.846
# DOS(E_F) (states/eV per cell): 2.32
# Formation energy (eV per formula unit): -4.749

Entry 2:
# PBE-GGA Sr3ZnPd3, optimized geometry
data_Sr3ZnPd3
_symmetry_space_group_name_H-M 'C 1 2/m 1'
_symmetry_Int_Tables_number 12
_symmetry_space_group_name_Hall '-C 2y'
_cell_length_a 11.517
_cell_length_b 4.413
_cell_length_c 15.253
_cell_angle_alpha 90.00
_cell_angle_beta 111.09
_cell_angle_gamma 90.00
loop_
_atom_site_label
_atom_site_type_symbol
_atom_site_fract_x
_atom_site_fract_y
_atom_site_fract_z
_atom_site_occupancy
Sr1 Sr 0.026 0.000 0.384 1
Sr2 Sr 0.102 0.000 0.923 1
Sr3 Sr 0.244 0.000 0.232 1
Zn1 Zn 0.239 0.500 0.407 1
Pd1 Pd 0.049 0.500 0.241 1
Pd2 Pd 0.110 0.500 0.079 1
Pd3 Pd 0.134 0.500 0.543 1
# Calculated total energy (eV per cell): -104.149
# DOS(E_F) (states/eV per cell): 9.55
# Formation energy (eV per formula unit): -4.139

Entry 3:
# PBE-GGA Sr2ZnPd, optimized geometry
data_Sr2ZnPd
_symmetry_space_group_name_H-M 'C 1 m 1'
_symmetry_Int_Tables_number 8
_symmetry_space_group_name_Hall 'C -2y'
_cell_length_a 7.721
_cell_length_b 4.461
_cell_length_c 8.238
_cell_angle_alpha 90.00
_cell_angle_beta 108.12
_cell_angle_gamma 90.00
loop_
_atom_site_label
_atom_site_type_symbol
_atom_site_fract_x
_atom_site_fract_y
_atom_site_fract_z
_atom_site_occupancy
Sr1 Sr 0.000 0.000 0.000 1
Sr2 Sr 0.174 0.000 0.522 1
Zn1 Zn 0.420 0.000 0.260 1
Pd1 Pd 0.254 0.500 0.263 1
# Calculated total energy (eV per cell): -23.449
# DOS(E_F) (states/eV per cell): 3.78
# Formation energy (eV per formula unit): -1.894

Entry 4:
# PBE-GGA SrZnPd, optimized geometry
data_SrZnPd
_symmetry_space_group_name_H-M 'P 21 3'
_symmetry_Int_Tables_number 198
_symmetry_space_group_name_Hall 'P 2ac 2ab 3'
_cell_length_a 6.769
_cell_length_b 6.769
_cell_length_c 6.769
_cell_angle_alpha 90.00
_cell_angle_beta 90.00
_cell_angle_gamma 90.00
loop_
_atom_site_label
_atom_site_type_symbol
_atom_site_fract_x
_atom_site_fract_y
_atom_site_fract_z
_atom_site_occupancy
Sr1 Sr 0.157 0.157 0.157 1
Zn1 Zn 0.163 0.337 0.663 1
Pd1 Pd 0.066 0.566 0.934 1
# Calculated total energy (eV per cell): -38.548
# DOS(E_F) (states/eV per cell): 3.29
# Formation energy (eV per formula unit): -1.488

Entry 5:
# PBE-GGA SrZnPd3, optimized geometry
data_SrZnPd3
_symmetry_space_group_name_H-M 'P m -3 m'
_symmetry_Int_Tables_number 221
_symmetry_space_group_name_Hall '-P 4 2 3'
_cell_length_a 4.764
_cell_length_b 4.764
_cell_length_c 4.764
_cell_angle_alpha 90.00
_cell_angle_beta 90.00
_cell_angle_gamma 90.00
loop_
_atom_site_label
_atom_site_type_symbol
_atom_site_fract_x
_atom_site_fract_y
_atom_site_fract_z
_atom_site_occupancy
Sr1 Sr 0.000 0.000 0.000 1
Zn1 Zn 0.500 0.500 0.500 1
Pd1 Pd 0.000 0.500 0.500 1
# Relative energy among the computed polymorphs (eV per atom): 0.000
# Calculated total energy (eV per cell): -19.976
# DOS(E_F) (states/eV per cell): 1.41
# Formation energy (eV per formula unit): -1.442

Entry 6:
# PBE-GGA Sr8Zn2Pd, optimized geometry
data_Sr8Zn2Pd
_symmetry_space_group_name_H-M 'C 1 2/m 1'
_symmetry_Int_Tables_number 12
_symmetry_space_group_name_Hall '-C 2y'
_cell_length_a 14.838
_cell_length_b 8.129
_cell_length_c 8.167
_cell_angle_alpha 90.00
_cell_angle_beta 92.63
_cell_angle_gamma 90.00
loop_
_atom_site_label
_atom_site_type_symbol
_atom_site_fract_x
_atom_site_fract_y
_atom_site_fract_z
_atom_site_occupancy
Sr1 Sr 0.045 0.248 0.252 1
Sr2 Sr 0.199 0.500 0.617 1
Sr3 Sr 0.204 0.000 0.885 1
Zn1 Zn 0.089 0.500 0.954 1
Pd1 Pd 0.000 0.500 0.500 1
# Relative energy among the computed polymorphs (eV per atom): 0.000
# Calculated total energy (eV per cell): -45.591
# DOS(E_F) (states/eV per cell): 22.47
# Formation energy (eV per formula unit): -1.600

Entry 7:
# PBE-GGA Sr2Zn7Pd, optimized geometry
data_Sr2Zn7Pd
_symmetry_space_group_name_H-M 'P -4 m 2'
_symmetry_Int_Tables_number 115
_symmetry_space_group_name_Hall 'P -4 -2'
_cell_length_a 4.218
_cell_length_b 4.218
_cell_length_c 11.538
_cell_angle_alpha 90.00
_cell_angle_beta 90.00
_cell_angle_gamma 90.00
loop_
_atom_site_label
_atom_site_type_symbol
_atom_site_fract_x
_atom_site_fract_y
_atom_site_fract_z
_atom_site_occupancy
Sr1 Sr 0.000 0.500 0.247 1
Zn1 Zn 0.000 0.000 0.000 1
Zn2 Zn 0.000 0.000 0.500 1
Zn3 Zn 0.000 0.500 0.638 1
Zn4 Zn 0.000 0.500 0.867 1
Zn5 Zn 0.500 0.500 0.500 1
Pd1 Pd 0.500 0.500 0.000 1
# Calculated total energy (eV per cell): -20.394
# DOS(E_F) (states/eV per cell): 3.81
# Formation energy (eV per formula unit): -2.920

Entry 8:
# PBE-GGA Sr4ZnPd, optimized geometry
data_Sr4ZnPd
_symmetry_space_group_name_H-M 'C 1 2/c 1'
_symmetry_Int_Tables_number 15
_symmetry_space_group_name_Hall '-C 2yc'
_cell_length_a 10.261
_cell_length_b 14.869
_cell_length_c 7.293
_cell_angle_alpha 90.00
_cell_angle_beta 126.52
_cell_angle_gamma 90.00
loop_
_atom_site_label
_atom_site_type_symbol
_atom_site_fract_x
_atom_site_fract_y
_atom_site_fract_z
_atom_site_occupancy
Sr1 Sr 0.141 0.183 0.109 1
Sr2 Sr 0.188 0.441 0.245 1
Zn1 Zn 0.000 0.004 0.250 1
Pd1 Pd 0.000 0.367 0.750 1
# Calculated total energy (eV per cell): -59.167
# DOS(E_F) (states/eV per cell): 20.02
# Formation energy (eV per formula unit): -1.598